DFT (PBE) results for crystalline KZr2PdSe at its relaxed geometry.

Computed properties:
**E_form (uncorrected)**: 332 meV per atom
**N(E_F)**: 1.62 states/eV/atom

Structure (POSCAR):
```
KZr2PdSe
1.0
-4.872 1.166 -0.330
-1.346 -5.455 0.600
-0.195 0.596 4.981
K Se Zr Pd
1 1 2 1
direct
0.000 0.500 0.000
0.000 0.000 0.000
0.000 0.000 0.500
0.500 0.000 0.000
0.500 0.500 0.500
```